Density functional theory data (PBE) for Zr12Cd3Pt after structural relaxation.

Computed properties:
The density is 7.75 g cm⁻³. As for the final energy: -7.113 eV/atom. As for the volume: 348.6 Å³/cell.

```
data_Zr12Cd3Pt
_chemical_formula_sum 'Zr12 Cd3 Pt1'
_space_group_name_H-M_alt 'P 4/m m m'
_space_group_IT_number 123
_space_group_name_Hall '-P 4 2'
_cell_length_a 4.4635
_cell_length_b 4.4635
_cell_length_c 17.4969
_cell_angle_alpha 90.00
_cell_angle_beta 90.00
_cell_angle_gamma 90.00
loop_
_atom_site_label
_atom_site_type_symbol
_atom_site_fract_x
_atom_site_fract_y
_atom_site_fract_z
Zr1 Zr 0.0000 0.0000 0.0000
Zr2 Zr 0.0000 0.0000 0.2427
Zr3 Zr 0.0000 0.0000 0.5000
Zr4 Zr 0.0000 0.5000 0.1172
Zr5 Zr 0.0000 0.5000 0.3728
Cd1 Cd 0.5000 0.5000 0.2459
Cd2 Cd 0.5000 0.5000 0.5000
Pt1 Pt 0.5000 0.5000 0.0000
```


Density functional theory data (PBE) for Re2AgW after structural relaxation.

Computed properties:
The value obtained for the energy relative to the lowest polymorph listed for this composition is 0.112 eV/atom. The density is 17.38 g cm⁻³. As for the volume: 63.4 Å³/cell.

```
data_Re2AgW
_chemical_formula_sum 'Re2 Ag1 W1'
_space_group_name_H-M_alt 'P 1 m 1'
_space_group_IT_number 6
_cell_length_a 2.7848
_cell_length_b 4.0435
_cell_length_c 5.6340
_cell_angle_alpha 90.00
_cell_angle_beta 90.06
_cell_angle_gamma 90.00
loop_
_space_group_symop_operation_xyz
'x,y,z'
'x,-y,z'
loop_
_atom_site_label
_atom_site_type_symbol
_atom_site_fract_x
_atom_site_fract_y
_atom_site_fract_z
Re1 Re 0.0000 0.0000 0.0000
Re2 Re 0.4863 0.5000 0.7852
Ag1 Ag 0.9890 0.0000 0.5082
W1 W 0.4874 0.5000 0.2401
```


Density functional theory data (PBE) for Cs2Na3Pb2 after structural relaxation.

Computed properties:
The density is 3.89 g cm⁻³. As for the final energy: -1.978 eV/atom. As for the volume: 639.7 Å³/cell.

```
data_Cs2Na3Pb2
_chemical_formula_sum 'Cs4 Na6 Pb4'
_space_group_name_H-M_alt 'C 1 2/m 1'
_space_group_IT_number 12
_cell_length_a 14.6354
_cell_length_b 5.6497
_cell_length_c 9.1746
_cell_angle_alpha 90.00
_cell_angle_beta 122.51
_cell_angle_gamma 90.00
loop_
_space_group_symop_operation_xyz
'x,y,z'
'-x,-y,-z'
'-x,y,-z'
'x,-y,z'
'x+1/2,y+1/2,z'
'-x+1/2,-y+1/2,-z'
'-x+1/2,y+1/2,-z'
'x+1/2,-y+1/2,z'
loop_
_atom_site_label
_atom_site_type_symbol
_atom_site_fract_x
_atom_site_fract_y
_atom_site_fract_z
Cs1 Cs 0.1547 0.0000 0.2737
Na1 Na 0.0000 0.5000 0.5000
Na2 Na 0.1579 0.5000 0.9313
Pb1 Pb 0.1075 0.0000 0.6909
```


Density functional theory data (PBE) for MgCuTe after structural relaxation.

Computed properties:
The raw formation energy is -244 meV per atom. The value obtained for the energy relative to the lowest polymorph listed for this composition is 0.063 eV/atom. The density is 5.01 g cm⁻³. As for the volume: 428.8 Å³/cell.

```
data_MgCuTe
_chemical_formula_sum 'Mg6 Cu6 Te6'
_space_group_name_H-M_alt 'R -3 m'
_space_group_IT_number 166
_space_group_name_Hall '-R 3 2"'
_cell_length_a 4.3456
_cell_length_b 4.3456
_cell_length_c 26.2189
_cell_angle_alpha 90.00
_cell_angle_beta 90.00
_cell_angle_gamma 120.00
loop_
_atom_site_label
_atom_site_type_symbol
_atom_site_fract_x
_atom_site_fract_y
_atom_site_fract_z
Mg1 Mg 0.0000 0.0000 0.0604
Cu1 Cu 0.0000 0.0000 0.3238
Te1 Te 0.0000 0.0000 0.2235
```


Density functional theory data (PBE) for Zr4CuOs2 after structural relaxation.

Computed properties:
The density is 9.73 g cm⁻³. As for the final energy: -8.989 eV/atom. As for the volume: 414.3 Å³/cell.

```
data_Zr4CuOs2
_chemical_formula_sum 'Zr12 Cu3 Os6'
_space_group_name_H-M_alt 'R -3 m'
_space_group_IT_number 166
_space_group_name_Hall '-R 3 2"'
_cell_length_a 4.6292
_cell_length_b 4.6292
_cell_length_c 22.3253
_cell_angle_alpha 90.00
_cell_angle_beta 90.00
_cell_angle_gamma 120.00
loop_
_atom_site_label
_atom_site_type_symbol
_atom_site_fract_x
_atom_site_fract_y
_atom_site_fract_z
Zr1 Zr 0.0000 0.0000 0.1212
Zr2 Zr 0.0000 0.0000 0.3718
Cu1 Cu 0.0000 0.0000 0.5000
Os1 Os 0.0000 0.0000 0.2478
```